1.
This record from Alexandria via LeMat-Bulk describes a relaxed structure of Re2PCl. The functional is GGA-PBE.

## Properties
Space-group type   Pmmm, No. 47
Formation energy without anion corrections   3.698 eV/f.u.
Magnetization   0.4 μB per cell
Fermi-level density of states   1.05 states/eV/atom
E_tot   -28.46 eV per formula unit

Lattice parameters (Å, degrees): 2.8148 5.4172 4.0204 90.00 90.00 90.00
Site moments in Bohr magnetons follow the coordinates.
Fractional positions:
Re1 0.5000 0.5000 0.0000  0.00
Re2 0.0000 0.0000 0.0000  0.35
P1 0.0000 0.5000 0.5000  0.00
Cl1 0.5000 0.0000 0.5000  0.01

***

2.
This record from Alexandria via LeMat-Bulk describes a relaxed structure of LaGe12Rh4. The functional is GGA-PBE.

## Properties
Space-group type   Im-3, No. 204
Magnetization   0.0 μB per cell
Fermi-level density of states   0.65 states/eV/atom
E_tot   -95.06 eV per formula unit

Lattice parameters (Å, degrees): 7.5041 7.5041 7.5041 109.47 109.47 109.47
Fractional positions:
Ge1 0.8459 0.6492 0.4951
Ge2 0.3508 0.5049 0.1541
Ge3 0.5049 0.1541 0.3508
Ge4 0.8033 0.1541 0.6492
Ge5 0.4951 0.8459 0.6492
Ge6 0.1541 0.3508 0.5049
Ge7 0.6492 0.8033 0.1541
Ge8 0.6492 0.4951 0.8459
Ge9 0.8459 0.3508 0.1967
Ge10 0.3508 0.1967 0.8459
Ge11 0.1967 0.8459 0.3508
Ge12 0.1541 0.6492 0.8033
Rh1 0.0000 0.5000 0.0000
Rh2 0.5000 0.5000 0.5000
Rh3 0.5000 0.0000 0.0000
Rh4 0.0000 0.0000 0.5000
La1 0.0000 0.0000 0.0000

***

3.
This record from Alexandria via LeMat-Bulk describes a relaxed structure of Ac2Nd3Ru2. The functional is GGA-PBE.

## Properties
Space-group type   C2/m, No. 12
Magnetization   0.0 μB per cell
Fermi-level density of states   0.69 states/eV/atom
E_tot   -42.35 eV per formula unit

Lattice parameters (Å, degrees): 4.0523 6.6961 9.3379 114.85 90.00 107.61
Fractional positions:
Ru1 0.8206 0.6411 0.7593
Ru2 0.1794 0.3589 0.2407
Nd1 0.6226 0.2451 0.4184
Nd2 0.3774 0.7549 0.5816
Nd3 0.5000 0.0000 0.0000
Ac1 0.1672 0.3343 0.7964
Ac2 0.8328 0.6657 0.2036

***

4.
This record from Alexandria via LeMat-Bulk describes a relaxed structure of ZrVTcOs. The functional is GGA-PBE.

## Properties
Space-group type   F-43m, No. 216
Magnetization   0.0 μB per cell
Fermi-level density of states   0.37 states/eV/atom
E_tot   -40.56 eV per formula unit

Lattice parameters (Å, degrees): 4.4677 4.4677 4.4677 60.00 60.00 60.00
Fractional positions:
Tc1 0.7500 0.7500 0.7500
V1 0.5000 0.5000 0.5000
Os1 0.2500 0.2500 0.2500
Zr1 0.0000 0.0000 0.0000

***

- The lowest Fermi-level density of states belongs to which entry?
  ZrVTcOs